Entry 1:
This record from the Alexandria database describes CrCu2Si after structural relaxation. The functional is GGA-PBE.

a b c (Å): 4.709 4.709 4.629
angles (deg): 65.65 65.65 31.33
Atoms (fractional coordinates):
Cr 0.243 0.243 0.341
Cu 0.758 0.758 0.825
Cu 0.003 0.003 0.924
Si 0.496 0.496 0.410

Computed properties:
D(E_F) = 2.6 states/eV/f.u.
volume = 48.24 Å³/f.u.
electronic total energy = -0.211 hartree per atom
formation energy without anion corrections = 0.077 eV per atom


Entry 2:
This record from the Alexandria database describes CrCu2Si after structural relaxation. The functional is GGA-PBE.

a b c (Å): 2.548 2.548 7.518
angles (deg): 90.00 90.00 99.06
Atoms (fractional coordinates):
Si 0.000 0.000 0.506
Cr 0.500 0.500 0.741
Cu 0.000 0.000 0.997
Cu 0.500 0.500 0.255

Computed properties:
D(E_F) = 1.7 states/eV/f.u.
volume = 48.21 Å³/f.u.
electronic total energy = -0.210 hartree per atom
formation energy without anion corrections = 0.097 eV per atom


Entry 3:
This record from the Alexandria database describes CrCu2Si after structural relaxation. The functional is GGA-PBE.

a b c (Å): 2.926 2.926 5.735
angles (deg): 90.00 90.00 90.00
Each line ends with the local moment (μB).
Atoms (fractional coordinates):
Cr 0.500 0.500 0.735  1.92
Cu 0.000 0.000 0.009  0.07
Cu 0.500 0.500 0.253  0.01
Si 0.000 0.000 0.502  -0.02

Computed properties:
D(E_F) = 3.5 states/eV/f.u.
volume = 49.10 Å³/f.u.
electronic total energy = -0.209 hartree per atom
formation energy without anion corrections = 0.122 eV per atom


Entry 4:
This record from the Alexandria database describes CrCu2Si after structural relaxation. The functional is GGA-PBE.

a b c (Å): 4.620 4.620 4.620
angles (deg): 133.76 133.76 67.47
Each line ends with the local moment (μB).
Atoms (fractional coordinates):
Cu 0.000 0.000 0.000  0.07
Cu 0.500 0.500 0.000  0.07
Cr 0.750 0.250 0.500  2.77
Si 0.250 0.750 0.500  -0.09

Computed properties:
D(E_F) = 2.9 states/eV/f.u.
volume = 50.58 Å³/f.u.
electronic total energy = -0.211 hartree per atom
formation energy without anion corrections = 0.077 eV per atom


Entry 5:
This record from the Alexandria database describes CrCu2Si after structural relaxation. The functional is GGA-PBE.

a b c (Å): 4.646 4.646 2.528
angles (deg): 90.00 90.00 116.90
Atoms (fractional coordinates):
Cu 0.000 0.000 0.000
Cu 0.500 0.500 0.000
Si 0.500 0.000 0.500
Cr 0.000 0.500 0.500

Computed properties:
D(E_F) = 2.3 states/eV/f.u.
volume = 48.65 Å³/f.u.
electronic total energy = -0.207 hartree per atom
formation energy without anion corrections = 0.171 eV per atom


Entry 6:
This record from the Alexandria database describes CrCu2Si after structural relaxation. The functional is GGA-PBE.

a b c (Å): 2.484 2.484 7.925
angles (deg): 90.00 90.00 90.00
Atoms (fractional coordinates):
Cu 0.000 0.000 0.499
Cu 0.000 0.000 0.001
Si 0.500 0.500 0.250
Cr 0.500 0.500 0.750

Computed properties:
D(E_F) = 2.5 states/eV/f.u.
volume = 48.88 Å³/f.u.
electronic total energy = -0.205 hartree per atom
formation energy without anion corrections = 0.233 eV per atom